A plane-wave DFT calculation with PBE was carried out for Fe2BHRu after structural relaxation.

Geometry as POSCAR:
```
Fe2BHRu
1.0
3.853 0.000 0.000
0.000 3.853 0.000
0.000 0.000 4.006
Fe B H Ru
2 1 1 1
direct
0.000 0.500 0.000
0.500 0.000 0.000
0.000 0.000 0.000
0.500 0.500 0.500
0.000 0.000 0.500
```

Summary:
DOS at the Fermi energy   3.9 states/eV per cell
Total energy   -6.490 eV/atom